Entry 1:
First-principles (PBE) data for a geometry-optimized Hf5In2Si2 structure, as listed in Alexandria via LeMat-Bulk.

Computed properties:
Density of states at the Fermi level ... 23.52 states/eV/cell
DFT total energy ... -7.775 eV/atom
E_form (uncorrected) ... -0.432 eV/atom

Geometry as CIF:
```
data_Hf5In2Si2
_cell_length_a 14.486
_cell_length_b 7.148
_cell_length_c 7.083
_cell_angle_alpha 90.00
_cell_angle_beta 90.00
_cell_angle_gamma 90.00
_symmetry_space_group_name_H-M 'C m c e'
_symmetry_Int_Tables_number 64
_symmetry_space_group_name_Hall '-C 2ac 2'
loop_
_atom_site_label
_atom_site_type_symbol
_atom_site_fract_x
_atom_site_fract_y
_atom_site_fract_z
Hf1 Hf 0.000 0.000 0.000
Hf2 Hf 0.119 0.179 0.323
In1 In 0.220 0.000 0.000
Si1 Si 0.000 0.122 0.623
```

=====

Entry 2:
First-principles (PBE) data for a geometry-optimized Tl2InIO8 structure, as listed in Alexandria via LeMat-Bulk.

Computed properties:
Density of states at the Fermi level ... 3.36 states/eV/cell
DFT total energy ... -4.701 eV/atom
E_form (uncorrected) ... -0.644 eV/atom

Geometry as CIF:
```
data_Tl2InIO8
_cell_length_a 4.999
_cell_length_b 6.714
_cell_length_c 5.066
_cell_angle_alpha 90.00
_cell_angle_beta 93.44
_cell_angle_gamma 90.00
_symmetry_space_group_name_H-M 'P 1 2/m 1'
_symmetry_Int_Tables_number 10
loop_
_symmetry_equiv_pos_as_xyz
'x,y,z'
'-x,-y,-z'
'-x,y,-z'
'x,-y,z'
loop_
_atom_site_label
_atom_site_type_symbol
_atom_site_fract_x
_atom_site_fract_y
_atom_site_fract_z
Tl1 Tl 0.000 0.249 0.000
In1 In 0.500 0.000 0.500
I1 I 0.500 0.500 0.500
O1 O 0.218 0.000 0.186
O2 O 0.243 0.500 0.194
O3 O 0.307 0.288 0.656
```

=====

Entry 3:
First-principles (PBE) data for a geometry-optimized LiScCdSi structure, as listed in Alexandria via LeMat-Bulk.

Computed properties:
Density of states at the Fermi level ... 4.85 states/eV/cell
DFT total energy ... -3.943 eV/atom
E_form (uncorrected) ... -0.297 eV/atom

Geometry as CIF:
```
data_LiScCdSi
_cell_length_a 6.618
_cell_length_b 6.618
_cell_length_c 6.618
_cell_angle_alpha 90.00
_cell_angle_beta 90.00
_cell_angle_gamma 90.00
_symmetry_space_group_name_H-M 'F -4 3 m'
_symmetry_Int_Tables_number 216
_symmetry_space_group_name_Hall 'F -4 2 3'
loop_
_atom_site_label
_atom_site_type_symbol
_atom_site_fract_x
_atom_site_fract_y
_atom_site_fract_z
Li1 Li 0.000 0.000 0.000
Sc1 Sc 0.000 0.000 0.500
Cd1 Cd 0.250 0.250 0.250
Si1 Si 0.250 0.250 0.750
```

=====

Entry 4:
First-principles (PBE) data for a geometry-optimized NaZrW3 structure, as listed in Alexandria via LeMat-Bulk.

Computed properties:
Density of states at the Fermi level ... 5.33 states/eV/cell
Energy of formation ... 2476 meV per atom
Offset from the most stable computed form ... 0.0 kJ/mol of atoms
DFT total energy ... -7.269 eV/atom

Geometry as CIF:
```
data_NaZrW3
_cell_length_a 4.911
_cell_length_b 4.911
_cell_length_c 4.911
_cell_angle_alpha 90.00
_cell_angle_beta 90.00
_cell_angle_gamma 90.00
_symmetry_space_group_name_H-M 'P m -3 m'
_symmetry_Int_Tables_number 221
_symmetry_space_group_name_Hall '-P 4 2 3'
loop_
_atom_site_label
_atom_site_type_symbol
_atom_site_fract_x
_atom_site_fract_y
_atom_site_fract_z
Na1 Na 0.000 0.000 0.000
Zr1 Zr 0.500 0.500 0.500
W1 W 0.000 0.500 0.500
```

=====

Entry 5:
First-principles (PBE) data for a geometry-optimized KTlCd3 structure, as listed in Alexandria via LeMat-Bulk.

Computed properties:
Density of states at the Fermi level ... 3.42 states/eV/cell
Energy of formation ... -52 meV per atom
Offset from the most stable computed form ... 0.4 kJ/mol of atoms
DFT total energy ... -1.294 eV/atom

Geometry as CIF:
```
data_KTlCd3
_cell_length_a 5.062
_cell_length_b 5.062
_cell_length_c 12.257
_cell_angle_alpha 90.00
_cell_angle_beta 90.00
_cell_angle_gamma 90.00
_symmetry_space_group_name_H-M 'I 4 m m'
_symmetry_Int_Tables_number 107
_symmetry_space_group_name_Hall 'I 4 -2'
loop_
_atom_site_label
_atom_site_type_symbol
_atom_site_fract_x
_atom_site_fract_y
_atom_site_fract_z
K1 K 0.000 0.000 0.000
Tl1 Tl 0.000 0.000 0.617
Cd1 Cd 0.000 0.000 0.375
Cd2 Cd 0.000 0.500 0.253
```

=====

Entry 6:
First-principles (PBE) data for a geometry-optimized BeAgOsPb2 structure, as listed in Alexandria via LeMat-Bulk.

Computed properties:
Density of states at the Fermi level ... 1.41 states/eV/cell
Energy of formation ... 606 meV per atom
DFT total energy ... -4.439 eV/atom

Geometry as CIF:
```
data_BeAgOsPb2
_cell_length_a 5.274
_cell_length_b 5.274
_cell_length_c 4.378
_cell_angle_alpha 90.00
_cell_angle_beta 90.00
_cell_angle_gamma 90.00
_symmetry_space_group_name_H-M 'P 4/m m m'
_symmetry_Int_Tables_number 123
_symmetry_space_group_name_Hall '-P 4 2'
loop_
_atom_site_label
_atom_site_type_symbol
_atom_site_fract_x
_atom_site_fract_y
_atom_site_fract_z
Be1 Be 0.000 0.000 0.000
Ag1 Ag 0.500 0.500 0.000
Os1 Os 0.000 0.000 0.500
Pb1 Pb 0.000 0.500 0.500
```

=====

Entry 7:
First-principles (PBE) data for a geometry-optimized CaCuPbBr2 structure, as listed in Alexandria via LeMat-Bulk.

Computed properties:
Density of states at the Fermi level ... 4.98 states/eV/cell
DFT total energy ... -2.929 eV/atom
E_form (uncorrected) ... -0.299 eV/atom

Geometry as CIF:
```
data_CaCuPbBr2
_cell_length_a 5.092
_cell_length_b 5.092
_cell_length_c 5.537
_cell_angle_alpha 90.00
_cell_angle_beta 90.00
_cell_angle_gamma 90.00
_symmetry_space_group_name_H-M 'P 4/m m m'
_symmetry_Int_Tables_number 123
_symmetry_space_group_name_Hall '-P 4 2'
loop_
_atom_site_label
_atom_site_type_symbol
_atom_site_fract_x
_atom_site_fract_y
_atom_site_fract_z
Ca1 Ca 0.000 0.000 0.000
Cu1 Cu 0.500 0.500 0.500
Pb1 Pb 0.500 0.500 0.000
Br1 Br 0.000 0.500 0.500
```

=====

Entry 8:
First-principles (PBE) data for a geometry-optimized Sm4Ag3Ru structure, as listed in Alexandria via LeMat-Bulk.

Computed properties:
Density of states at the Fermi level ... 5.96 states/eV/cell
Energy of formation ... -277 meV per atom
DFT total energy ... -4.865 eV/atom

Geometry as CIF:
```
data_Sm4Ag3Ru
_cell_length_a 3.574
_cell_length_b 3.574
_cell_length_c 15.217
_cell_angle_alpha 90.00
_cell_angle_beta 90.00
_cell_angle_gamma 90.00
_symmetry_space_group_name_H-M 'P 4/m m m'
_symmetry_Int_Tables_number 123
_symmetry_space_group_name_Hall '-P 4 2'
loop_
_atom_site_label
_atom_site_type_symbol
_atom_site_fract_x
_atom_site_fract_y
_atom_site_fract_z
Sm1 Sm 0.000 0.000 0.111
Sm2 Sm 0.000 0.000 0.372
Ag1 Ag 0.500 0.500 0.244
Ag2 Ag 0.500 0.500 0.500
Ru1 Ru 0.500 0.500 0.000
```